# 1
AcYErPb: relaxed, GGA-PBE.

Results
Crystal system: cubic
Formation energy from the elements in meV/atom: -44

a = 7.9271 Å, b = 7.9271 Å, c = 7.9271 Å
α = 90.00°, β = 90.00°, γ = 90.00°
Last column: nearest neighbours and their distance in Å.
Space group F-43m (No. 216)
Symmetry-distinct sites (fractional):
Ac 0.0000 0.0000 0.0000  4 Er 3.43, 4 Y 3.43
Y 0.2500 0.2500 0.7500  4 Ac 3.43, 4 Pb 3.43
Er 0.2500 0.2500 0.2500  4 Ac 3.43, 4 Pb 3.43
Pb 0.0000 0.0000 0.5000  4 Er 3.43, 4 Y 3.43



# 2
Ac3ErPd12: relaxed, GGA-PBE.

Results
Crystal system: tetragonal
Formation energy from the elements in meV/atom: -766

a = 4.2675 Å, b = 4.2675 Å, c = 17.0222 Å
α = 90.00°, β = 90.00°, γ = 90.00°
Last column: nearest neighbours and their distance in Å.
Space group P4/mmm (No. 123)
Symmetry-distinct sites (fractional):
Ac 0.0000 0.0000 0.0000  12 Pd 3.02-3.05
Ac 0.0000 0.0000 0.2573  12 Pd 3.02-3.07
Er 0.0000 0.0000 0.5000  12 Pd 2.89-3.02
Pd 0.0000 0.5000 0.1280  8 Pd 3.02-3.05, 4 Ac 3.05-3.07
Pd 0.0000 0.5000 0.3853  2 Er 2.89, 8 Pd 2.89-3.07, 2 Ac 3.05
Pd 0.5000 0.5000 0.0000  4 Ac 3.02, 8 Pd 3.05
Pd 0.5000 0.5000 0.2559  4 Ac 3.02, 8 Pd 3.05-3.07
Pd 0.5000 0.5000 0.5000  8 Pd 2.89, 4 Er 3.02



# 3
AcEr2Pd: relaxed, GGA-PBE.

Results
ΔE to the lowest computed polymorph in kcal/mol of atoms: 0.00
Crystal system: tetragonal
Formation energy from the elements in meV/atom: -404

a = 3.6128 Å, b = 3.6128 Å, c = 8.8670 Å
α = 90.00°, β = 90.00°, γ = 90.00°
Last column: nearest neighbours and their distance in Å.
Space group P4/mmm (No. 123)
Symmetry-distinct sites (fractional):
Ac 0.0000 0.0000 0.0000  4 Ac 3.61, 8 Er 3.80
Er 0.5000 0.5000 0.3170  4 Pd 3.03, 1 Er 3.24
Pd 0.0000 0.0000 0.5000  8 Er 3.03



# 4
AcErPd: relaxed, GGA-PBE.

Results
ΔE to the lowest computed polymorph in kcal/mol of atoms: 0.27
Crystal system: monoclinic
Formation energy from the elements in meV/atom: -496

a = 6.9471 Å, b = 7.3110 Å, c = 8.7311 Å
α = 90.00°, β = 123.26°, γ = 90.00°
Last column: nearest neighbours and their distance in Å.
Space group P2_1/c (No. 14)
Symmetry-distinct sites (fractional):
Ac 0.2237 0.1586 0.4288  4 Pd 3.22-3.46
Er 0.2715 0.6409 0.5769  3 Pd 2.78-2.80
Pd 0.3189 0.5557 0.2866  3 Er 2.78-2.80



# 5
AcEr2Pd9: relaxed, GGA-PBE.

Results
Crystal system: tetragonal
Formation energy from the elements in meV/atom: -831

a = 4.2003 Å, b = 4.2003 Å, c = 12.3844 Å
α = 90.00°, β = 90.00°, γ = 90.00°
Last column: nearest neighbours and their distance in Å.
Space group P4/mmm (No. 123)
Symmetry-distinct sites (fractional):
Ac 0.0000 0.0000 0.0000  12 Pd 2.97-3.05
Er 0.0000 0.0000 0.3403  12 Pd 2.89-2.97
Pd 0.0000 0.5000 0.1789  8 Pd 2.89-3.05, 2 Er 2.90, 2 Ac 3.05
Pd 0.0000 0.5000 0.5000  4 Er 2.89, 8 Pd 2.90-2.97
Pd 0.5000 0.5000 0.0000  4 Ac 2.97, 8 Pd 3.05
Pd 0.5000 0.5000 0.3389  8 Pd 2.89-2.90, 4 Er 2.97



# 6
Ac2ErPd: relaxed, GGA-PBE.

Results
ΔE to the lowest computed polymorph in kcal/mol of atoms: 0.00
Crystal system: tetragonal
Formation energy from the elements in meV/atom: -285

a = 3.9089 Å, b = 3.9089 Å, c = 8.5953 Å
α = 90.00°, β = 90.00°, γ = 90.00°
Last column: nearest neighbours and their distance in Å.
Space group P4/mmm (No. 123)
Symmetry-distinct sites (fractional):
Ac 0.0000 0.0000 0.2092  4 Pd 3.30, 1 Ac 3.60
Er 0.5000 0.5000 0.5000  8 Ac 3.73, 4 Er 3.91
Pd 0.5000 0.5000 0.0000  8 Ac 3.30



# 7
Ac2ErPd2: relaxed, GGA-PBE.

Results
Crystal system: tetragonal
Formation energy from the elements in meV/atom: -663

a = 8.1447 Å, b = 8.1447 Å, c = 4.3051 Å
α = 90.00°, β = 90.00°, γ = 90.00°
Last column: nearest neighbours and their distance in Å.
Space group P4/mbm (No. 127)
Symmetry-distinct sites (fractional):
Ac 0.1700 0.3300 0.0000  6 Pd 3.12-3.29
Er 0.0000 0.0000 0.5000  4 Pd 3.18
Pd 0.1334 0.6334 0.5000  1 Pd 3.07, 6 Ac 3.12-3.29, 2 Er 3.18



# 8
AcErPd: relaxed, GGA-PBE.

Results
ΔE to the lowest computed polymorph in kcal/mol of atoms: 2.57
Crystal system: trigonal
Formation energy from the elements in meV/atom: -396

a = 4.7791 Å, b = 4.7791 Å, c = 4.5838 Å
α = 90.00°, β = 90.00°, γ = 120.00°
Last column: nearest neighbours and their distance in Å.
Space group P3m1 (No. 156)
Symmetry-distinct sites (fractional):
Ac 0.0000 0.0000 0.0000  3 Pd 3.32, 6 Er 3.58-3.59
Er 0.3333 0.6667 0.4973  3 Pd 2.80
Pd 0.6667 0.3333 0.5970  3 Er 2.80



# 9
AcErPd: relaxed, GGA-PBE.

Results
ΔE to the lowest computed polymorph in kcal/mol of atoms: 0.00
Crystal system: hexagonal
Formation energy from the elements in meV/atom: -508

a = 8.4133 Å, b = 8.4133 Å, c = 4.2440 Å
α = 90.00°, β = 90.00°, γ = 120.00°
Last column: nearest neighbours and their distance in Å.
Space group P-62m (No. 189)
Symmetry-distinct sites (fractional):
Ac 0.0000 0.4225 0.0000  5 Pd 3.29-3.55, 2 Er 3.59
Er 0.0000 0.7666 0.5000  2 Pd 2.89
Pd 0.0000 0.0000 0.0000  6 Er 2.89
Pd 0.3333 0.6667 0.5000  6 Ac 3.29, 3 Er 3.31



# 10
AcErPd: relaxed, GGA-PBE.

Results
ΔE to the lowest computed polymorph in kcal/mol of atoms: 0.29
Crystal system: tetragonal
Formation energy from the elements in meV/atom: -495

a = 3.6917 Å, b = 3.6917 Å, c = 12.8176 Å
α = 90.00°, β = 90.00°, γ = 90.00°
Last column: nearest neighbours and their distance in Å.
Space group I4mm (No. 107)
Symmetry-distinct sites (fractional):
Ac 0.0000 0.0000 0.0000  4 Pd 3.37, 1 Er 3.49, 4 Ac 3.69
Er 0.0000 0.0000 0.2720  4 Pd 2.94
Pd 0.0000 0.0000 0.6660  4 Er 2.94



# 11
AcErPd: relaxed, GGA-PBE.

Results
ΔE to the lowest computed polymorph in kcal/mol of atoms: 3.01
Crystal system: cubic
Formation energy from the elements in meV/atom: -377

a = 7.2378 Å, b = 7.2378 Å, c = 7.2378 Å
α = 90.00°, β = 90.00°, γ = 90.00°
Last column: nearest neighbours and their distance in Å.
Space group F-43m (No. 216)
Symmetry-distinct sites (fractional):
Ac 0.0000 0.0000 0.0000  4 Pd 3.13
Er 0.0000 0.0000 0.5000  4 Pd 3.13
Pd 0.2500 0.2500 0.2500  4 Ac 3.13, 4 Er 3.13



# 12
Ac2Er3Pd2: relaxed, GGA-PBE.

Results
Crystal system: monoclinic
Formation energy from the elements in meV/atom: -510

a = 12.8298 Å, b = 3.8831 Å, c = 9.3172 Å
α = 90.00°, β = 117.81°, γ = 90.00°
Last column: nearest neighbours and their distance in Å.
Space group C2/m (No. 12)
Symmetry-distinct sites (fractional):
Ac 0.1534 0.0000 0.3043  2 Pd 3.28
Er 0.0000 0.5000 0.5000  4 Pd 2.95
Er 0.1197 0.5000 0.9376  3 Pd 2.87-3.02
Pd 0.1583 0.0000 0.7411  5 Er 2.87-3.02



# 13
AcEr2Pd: relaxed, GGA-PBE.

Results
ΔE to the lowest computed polymorph in kcal/mol of atoms: 1.96
Crystal system: trigonal
Formation energy from the elements in meV/atom: -319

a = 3.9850 Å, b = 3.9850 Å, c = 28.1855 Å
α = 90.00°, β = 90.00°, γ = 120.00°
Last column: nearest neighbours and their distance in Å.
Space group R-3m (No. 166, hexagonal axes)
Symmetry-distinct sites (fractional):
Ac 0.0000 0.0000 0.0000  6 Er 3.87, 6 Ac 3.98
Er 0.0000 0.0000 0.2227  3 Pd 2.79
Pd 0.0000 0.0000 0.5000  6 Er 2.79



# 14
AcErPd4: relaxed, GGA-PBE.

Results
ΔE to the lowest computed polymorph in kcal/mol of atoms: 0.00
Crystal system: orthorhombic
Formation energy from the elements in meV/atom: -845

a = 4.2922 Å, b = 20.3294 Å, c = 5.8055 Å
α = 90.00°, β = 90.00°, γ = 90.00°
Last column: nearest neighbours and their distance in Å.
Space group Cmcm (No. 63)
Symmetry-distinct sites (fractional):
Ac 0.0000 0.2176 0.2500  7 Pd 3.03-3.24
Er 0.0000 0.0717 0.7500  11 Pd 2.85-2.97
Pd 0.0000 0.0685 0.2500  3 Er 2.85-2.90, 8 Pd 2.94-2.97, 1 Ac 3.03
Pd 0.0000 0.3600 0.5017  5 Pd 2.85-2.97, 2 Er 2.94, 2 Ac 3.03
Pd 0.0000 0.5000 0.0000  8 Pd 2.85-2.94, 4 Er 2.97



# 15
Ac2ErPd: relaxed, GGA-PBE.

Results
ΔE to the lowest computed polymorph in kcal/mol of atoms: 10.65
Crystal system: trigonal
Formation energy from the elements in meV/atom: 177

a = 3.7431 Å, b = 3.7431 Å, c = 34.8497 Å
α = 90.00°, β = 90.00°, γ = 120.00°
Last column: nearest neighbours and their distance in Å.
Space group R-3m (No. 166, hexagonal axes)
Symmetry-distinct sites (fractional):
Ac 0.0000 0.0000 0.0796  1 Pd 2.77
Er 0.0000 0.0000 0.5000  6 Ac 3.73, 6 Er 3.74
Pd 0.0000 0.0000 0.0000  2 Ac 2.77



# 16
AcErPd3: relaxed, GGA-PBE.

Results
Crystal system: orthorhombic
Formation energy from the elements in meV/atom: -855

a = 3.9503 Å, b = 27.1168 Å, c = 4.3977 Å
α = 90.00°, β = 90.00°, γ = 90.00°
Last column: nearest neighbours and their distance in Å.
Space group Cmcm (No. 63)
Symmetry-distinct sites (fractional):
Ac 0.0000 0.0749 0.2500  10 Pd 3.20-3.45
Er 0.0000 0.2068 0.7500  7 Pd 2.80-2.99
Pd 0.0000 0.3102 0.7500  2 Pd 2.75, 5 Er 2.80-2.99
Pd 0.0000 0.3709 0.2500  3 Pd 2.70-2.75, 2 Er 2.89
Pd 0.0000 0.4707 0.2500  3 Pd 2.70-2.71



# 17
AcEr2Pd: relaxed, GGA-PBE.

Results
ΔE to the lowest computed polymorph in kcal/mol of atoms: 1.53
Crystal system: trigonal
Formation energy from the elements in meV/atom: -338

a = 4.0270 Å, b = 4.0270 Å, c = 27.5874 Å
α = 90.00°, β = 90.00°, γ = 120.00°
Last column: nearest neighbours and their distance in Å.
Space group R3m (No. 160, hexagonal axes)
Symmetry-distinct sites (fractional):
Ac 0.0000 0.0000 0.0000  6 Er 3.78-3.88, 6 Ac 4.03
Er 0.0000 0.0000 0.2251  3 Pd 2.79
Er 0.0000 0.0000 0.4461  3 Pd 2.80
Pd 0.0000 0.0000 0.8362  6 Er 2.79-2.80



# 18
AcErPd4: relaxed, GGA-PBE.

Results
ΔE to the lowest computed polymorph in kcal/mol of atoms: 1.82
Crystal system: cubic
Formation energy from the elements in meV/atom: -766

a = 7.8579 Å, b = 7.8579 Å, c = 7.8579 Å
α = 90.00°, β = 90.00°, γ = 90.00°
Last column: nearest neighbours and their distance in Å.
Space group F-43m (No. 216)
Symmetry-distinct sites (fractional):
Ac 0.0000 0.0000 0.0000  12 Pd 3.26, 4 Er 3.40
Er 0.2500 0.2500 0.7500  12 Pd 3.26, 4 Ac 3.40
Pd 0.1243 0.1243 0.3757  6 Pd 2.76-2.79



# 19
AcErPdRu: relaxed, GGA-PBE.

Results
Crystal system: cubic
Formation energy from the elements in meV/atom: -433

a = 7.1716 Å, b = 7.1716 Å, c = 7.1716 Å
α = 90.00°, β = 90.00°, γ = 90.00°
Last column: nearest neighbours and their distance in Å.
Space group F-43m (No. 216)
Symmetry-distinct sites (fractional):
Ac 0.0000 0.0000 0.0000  4 Ru 3.11, 4 Pd 3.11
Er 0.0000 0.0000 0.5000  4 Ru 3.11, 4 Pd 3.11
Pd 0.2500 0.2500 0.7500  4 Ac 3.11, 4 Er 3.11
Ru 0.2500 0.2500 0.2500  4 Ac 3.11, 4 Er 3.11



# 20
Ac2ErSb4Pd3: relaxed, GGA-PBE.

Results
E_form (uncorrected) in meV/atom: -889
Crystal system: tetragonal

a = 4.7049 Å, b = 4.7049 Å, c = 11.7591 Å
α = 90.00°, β = 90.00°, γ = 90.00°
Last column: nearest neighbours and their distance in Å.
Space group P-4m2 (No. 115)
Symmetry-distinct sites (fractional):
Ac 0.0000 0.5000 0.2277  6 Pd 3.55-3.97, 8 Sb 3.56-3.62, 2 Er 3.97
Er 0.0000 0.0000 0.5000  4 Sb 2.95
Sb 0.0000 0.0000 0.0000  4 Pd 2.75
Sb 0.0000 0.5000 0.6510  3 Pd 2.68-2.95, 2 Er 2.95
Sb 0.5000 0.5000 0.0000  4 Pd 2.75
Pd 0.0000 0.5000 0.8788  5 Sb 2.68-2.75
Pd 0.5000 0.5000 0.5000  4 Sb 2.95



# 21
AcErSbPd: relaxed, GGA-PBE.

Results
E_form (uncorrected) in meV/atom: -677
Crystal system: cubic

a = 7.6109 Å, b = 7.6109 Å, c = 7.6109 Å
α = 90.00°, β = 90.00°, γ = 90.00°
Last column: nearest neighbours and their distance in Å.
Space group F-43m (No. 216)
Symmetry-distinct sites (fractional):
Ac 0.0000 0.0000 0.0000  4 Pd 3.30, 4 Sb 3.30
Er 0.0000 0.0000 0.5000  4 Sb 3.30, 4 Pd 3.30
Sb 0.2500 0.2500 0.2500  4 Ac 3.30, 4 Er 3.30
Pd 0.2500 0.2500 0.7500  4 Er 3.30, 4 Ac 3.30



# 22
Ac2ErSb3Pd4: relaxed, GGA-PBE.

Results
E_form (uncorrected) in meV/atom: -952
Crystal system: tetragonal

a = 4.6256 Å, b = 4.6256 Å, c = 11.4762 Å
α = 90.00°, β = 90.00°, γ = 90.00°
Last column: nearest neighbours and their distance in Å.
Space group P-4m2 (No. 115)
Symmetry-distinct sites (fractional):
Ac 0.0000 0.5000 0.2216  8 Pd 3.44-3.63, 4 Sb 3.44
Er 0.0000 0.0000 0.5000  4 Pd 2.82
Sb 0.0000 0.5000 0.8726  5 Pd 2.66-2.74
Sb 0.5000 0.5000 0.5000  4 Pd 2.82
Pd 0.0000 0.0000 0.0000  4 Sb 2.74
Pd 0.0000 0.5000 0.6404  3 Sb 2.66-2.82, 2 Er 2.82
Pd 0.5000 0.5000 0.0000  4 Sb 2.74



# 23
AcErSiPd: relaxed, GGA-PBE.

Results
E_form (uncorrected) in meV/atom: -575
Crystal system: cubic

a = 7.3587 Å, b = 7.3587 Å, c = 7.3587 Å
α = 90.00°, β = 90.00°, γ = 90.00°
Last column: nearest neighbours and their distance in Å.
Space group F-43m (No. 216)
Symmetry-distinct sites (fractional):
Ac 0.0000 0.0000 0.0000  4 Pd 3.19, 4 Si 3.19
Er 0.0000 0.0000 0.5000  4 Pd 3.19, 4 Si 3.19
Si 0.2500 0.2500 0.2500  4 Ac 3.19, 4 Er 3.19
Pd 0.2500 0.2500 0.7500  4 Ac 3.19, 4 Er 3.19



# 24
Ac2ErSiPd6: relaxed, GGA-PBE.

Results
E_form (uncorrected) in meV/atom: -699
Crystal system: triclinic

a = 5.7080 Å, b = 6.6833 Å, c = 6.9461 Å
α = 110.48°, β = 110.68°, γ = 100.29°
Last column: nearest neighbours and their distance in Å.
Space group P-1 (No. 2)
Symmetry-distinct sites (fractional):
Ac 0.0241 0.3121 0.1607  7 Pd 2.98-3.29
Er 0.5000 0.0000 0.5000  6 Pd 2.75-3.00
Si 0.5000 0.5000 0.0000  4 Pd 2.43-2.70
Pd 0.0404 0.2412 0.6097  5 Pd 2.69-2.97, 1 Si 2.70, 1 Er 2.90
Pd 0.3721 0.0904 0.8603  1 Si 2.43, 1 Pd 2.69
Pd 0.4023 0.6435 0.6589  1 Si 2.77, 5 Pd 2.82-3.05, 2 Ac 2.98-3.03, 1 Er 3.00



# 25
AcErSi2Pd2: relaxed, GGA-PBE.

Results
E_form (uncorrected) in meV/atom: -900
Crystal system: trigonal

a = 4.3097 Å, b = 4.3097 Å, c = 8.0782 Å
α = 90.00°, β = 90.00°, γ = 120.00°
Last column: nearest neighbours and their distance in Å.
Space group P-3m1 (No. 164)
Symmetry-distinct sites (fractional):
Ac 0.0000 0.0000 0.0000  6 Si 3.33, 6 Pd 3.43
Er 0.0000 0.0000 0.5000  6 Pd 3.00, 6 Si 3.08
Si 0.3333 0.6667 0.2745  3 Pd 2.49
Pd 0.3333 0.6667 0.7084  3 Si 2.49



# 26
AcErSi2Pd5: relaxed, GGA-PBE.

Results
E_form (uncorrected) in meV/atom: -854
Crystal system: tetragonal

a = 4.2849 Å, b = 4.2849 Å, c = 9.0832 Å
α = 90.00°, β = 90.00°, γ = 90.00°
Last column: nearest neighbours and their distance in Å.
Space group P4/mmm (No. 123)
Symmetry-distinct sites (fractional):
Ac 0.0000 0.0000 0.0000  12 Pd 3.03-3.09
Er 0.0000 0.0000 0.5000  8 Pd 3.15, 8 Si 3.25
Si 0.5000 0.5000 0.3714  1 Si 2.34, 4 Pd 2.43
Pd 0.0000 0.5000 0.2451  2 Si 2.43
Pd 0.5000 0.5000 0.0000  4 Ac 3.03, 8 Pd 3.09, 2 Si 3.37



| no. | E_tot (eV/f.u.) | magnetic moment (Bohr magnetons per cell) | D(E_F) (states/eV/atom) |
| --- | --- | --- | --- |
| 1 | -19.021 | 0.00 | 1.673 |
| 2 | -91.465 | 0.00 | 0.532 |
| 3 | -20.042 | 0.00 | 0.999 |
| 4 | -15.353 | 0.00 | 1.077 |
| 5 | -69.943 | 0.00 | 0.714 |
| 6 | -19.113 | 0.00 | 1.137 |
| 7 | -26.482 | 0.00 | 0.945 |
| 8 | -15.053 | 0.00 | 0.692 |
| 9 | -15.388 | 0.01 | 1.278 |
| 10 | -15.349 | 0.00 | 0.883 |
| 11 | -14.996 | 0.00 | 1.146 |
| 12 | -35.860 | 0.00 | 1.170 |
| 13 | -19.703 | 0.00 | 1.406 |
| 14 | -34.515 | 0.00 | 0.213 |
| 15 | -17.266 | 0.00 | 1.218 |
| 16 | -28.526 | 0.00 | 0.514 |
| 17 | -19.777 | 0.00 | 1.341 |
| 18 | -34.041 | 0.00 | 0.231 |
| 19 | -24.873 | 0.00 | 0.901 |
| 20 | -53.740 | 0.00 | 0.416 |
| 21 | -20.696 | 2.42 | 1.075 |
| 22 | -55.442 | 0.00 | 0.286 |
| 23 | -21.585 | 0.00 | 0.447 |
| 24 | -56.350 | 0.00 | 0.602 |
| 25 | -35.302 | 0.00 | 0.709 |
| 26 | -53.168 | 0.00 | 0.337 |